# 1
{
  "formula": "Be2AlBr",
  "functional": "PBE",
  "state": "relaxed",
  "lattice": [[1.658, 0.957, 6.909], [-1.658, 0.957, 6.909], [0.000, -1.914, 6.909]],
  "species": ["Be", "Be", "Al", "Br"],
  "frac_coords": [[0.000, 0.000, 0.000], [0.268, 0.268, 0.268], [0.734, 0.734, 0.734], [0.528, 0.528, 0.528]],
  "polymorph_energy_ev_per_fu": 1.44,
  "total_magnetization_mub_per_cell": 0.00,
  "total_energy_ev_per_atom": -2.778
}

=====

# 2
{
  "formula": "BeAlBr2",
  "functional": "PBE",
  "state": "relaxed",
  "lattice": [[-1.964, 1.964, 6.782], [1.964, -1.964, 6.782], [1.964, 1.964, -6.782]],
  "species": ["Be", "Al", "Br", "Br"],
  "frac_coords": [[0.000, 0.000, 0.000], [0.750, 0.250, 0.500], [0.250, 0.750, 0.500], [0.500, 0.500, 0.000]],
  "polymorph_energy_ev_per_fu": 2.86,
  "total_magnetization_mub_per_cell": 0.00,
  "total_energy_ev_per_atom": -2.320
}